VASP calculation (GGA-PBE) on crystalline Rb3Pm2DyO6 at its relaxed geometry.

```
Rb3Pm2DyO6
1.0
6.2281 -0.0011 0.0004
-3.1134 5.3940 0.0004
-1.0384 -1.7980 6.5882
O Pm Rb Dy
6 2 3 1
Cartesian
-0.0248 -0.0429 5.4152
3.0894 1.8394 5.4159
2.1010 3.6378 1.1738
2.0269 -0.0003 1.1731
-1.0132 1.7555 1.1731
0.0493 3.5952 5.4159
0.0003 3.5957 0.0004
3.1143 1.7973 0.0004
-2.0842 3.6007 3.2945
1.0381 1.7975 3.2945
4.1604 -0.0058 3.2945
0.0000 0.0000 0.0000
```

Values from the calculation:
As for the spin magnetization: 0.0 μB per formula unit. Its raw formation energy is -2.62 eV/atom. As for the space group: C2/m.